1.
A relaxed Hf2PtF4 crystal. Source: Alexandria via LeMat-Bulk, functional PBE-GGA.

Cell and atoms, written as POSCAR:
```
Hf2PtF4
1.0
-2.111 2.111 8.289
2.111 -2.111 8.289
2.111 2.111 -8.289
Hf Pt F
2 1 4
Direct
0.115 0.115 0.000
0.885 0.885 0.000
0.500 0.500 0.000
0.000 0.500 0.500
0.226 0.226 0.000
0.500 0.000 0.500
0.774 0.774 0.000
```

Computed properties:
- SG: I4/mmm
- E_tot: -0.422 Ry per atom
- Total magnetization: 0.000 μB/f.u.

=====

2.
A relaxed HfPtF2 crystal. Source: Alexandria via LeMat-Bulk, functional PBE-GGA.

Cell and atoms, written as POSCAR:
```
HfPtF2
1.0
-2.057 2.057 7.234
2.057 -2.057 7.234
2.057 2.057 -7.234
Hf Pt F
2 2 4
Direct
0.000 0.000 0.000
0.750 0.250 0.500
0.250 0.750 0.500
0.500 0.500 0.000
0.375 0.235 0.360
0.765 0.125 0.140
0.875 0.015 0.640
0.985 0.625 0.860
```

Computed properties:
- SG: I-42d
- Polymorph energy (0 for the lowest one): 0.0 kJ per mole of atoms
- Total magnetization: 0.118 μB/f.u.

=====

3.
A relaxed HfPt2F2 crystal. Source: Alexandria via LeMat-Bulk, functional PBE-GGA.

Cell and atoms, written as POSCAR:
```
HfPt2F2
1.0
-1.742 1.742 6.038
1.742 -1.742 6.038
1.742 1.742 -6.038
Hf Pt F
1 2 2
Direct
0.000 0.000 0.000
0.390 0.390 0.000
0.610 0.610 0.000
0.250 0.750 0.500
0.750 0.250 0.500
```

Computed properties:
- SG: I4/mmm
- Polymorph energy (0 for the lowest one): 0.0 kJ per mole of atoms
- Total magnetization: 0.000 μB/f.u.

=====

4.
A relaxed HfPtF2 crystal. Source: Alexandria via LeMat-Bulk, functional PBE-GGA.

Cell and atoms, written as POSCAR:
```
HfPtF2
1.0
0.000 3.004 3.004
3.004 0.000 3.004
3.004 3.004 0.000
Hf Pt F
1 1 2
Direct
0.000 0.000 0.000
0.500 0.500 0.500
0.250 0.250 0.250
0.750 0.750 0.750
```

Computed properties:
- SG: Fm-3m
- Polymorph energy (0 for the lowest one): 52.7 kJ per mole of atoms
- Total magnetization: 0.000 μB/f.u.

=====

5.
A relaxed HfPtSe2F crystal. Source: Alexandria via LeMat-Bulk, functional PBE-GGA.

Cell and atoms, written as POSCAR:
```
HfPtSe2F
1.0
5.033 0.000 0.000
0.000 5.033 0.000
0.000 0.000 3.851
Hf Pt Se F
1 1 2 1
Direct
0.000 0.000 0.000
0.500 0.500 0.000
0.000 0.500 0.500
0.500 0.000 0.500
0.000 0.000 0.500
```

Computed properties:
- SG: P4/mmm
- E_tot: -0.385 Ry per atom
- Total magnetization: 0.000 μB/f.u.

=====

6.
A relaxed PuHfF6 crystal. Source: Alexandria via LeMat-Bulk, functional PBE-GGA.

Cell and atoms, written as POSCAR:
```
PuHfF6
1.0
2.991 -4.012 0.000
2.991 4.012 0.000
-0.978 0.000 5.245
Pu Hf F
1 1 6
Direct
0.000 0.000 0.000
0.500 0.500 0.500
0.178 0.513 0.238
0.223 0.223 0.663
0.487 0.822 0.762
0.513 0.178 0.238
0.777 0.777 0.337
0.822 0.487 0.762
```

Computed properties:
- SG: C2/m
- E_tot: -0.584 Ry per atom
- Total magnetization: 5.997 μB/f.u.

=====

7.
A relaxed Pu2HfF11 crystal. Source: Alexandria via LeMat-Bulk, functional PBE-GGA.

Cell and atoms, written as POSCAR:
```
Pu2HfF11
1.0
-4.155 5.153 5.307
4.155 -5.153 5.307
4.155 5.153 -5.307
Pu Hf F
4 2 22
Direct
0.183 0.151 0.334
0.317 0.651 0.968
0.683 0.349 0.032
0.817 0.849 0.666
0.250 0.750 0.500
0.750 0.250 0.500
0.000 0.000 0.000
0.015 0.439 0.747
0.077 0.843 0.635
0.192 0.939 0.423
0.208 0.442 0.365
0.212 0.874 0.085
0.288 0.374 0.662
0.292 0.657 0.235
0.308 0.731 0.747
0.423 0.058 0.765
0.485 0.231 0.423
0.500 0.500 0.000
0.515 0.769 0.577
0.577 0.942 0.235
0.692 0.269 0.253
0.708 0.343 0.765
0.712 0.626 0.338
0.788 0.126 0.915
0.792 0.558 0.635
0.808 0.061 0.577
0.923 0.157 0.365
0.985 0.561 0.253
```

Computed properties:
- SG: Ibam
- E_tot: -0.576 Ry per atom
- Total magnetization: 9.000 μB/f.u.

=====

8.
A relaxed PuHf2F11 crystal. Source: Alexandria via LeMat-Bulk, functional PBE-GGA.

Cell and atoms, written as POSCAR:
```
PuHf2F11
1.0
-3.895 5.040 5.530
3.895 -5.040 5.530
3.895 5.040 -5.530
Pu Hf F
2 4 22
Direct
0.250 0.250 0.000
0.750 0.750 0.000
0.181 0.634 0.815
0.319 0.134 0.453
0.681 0.866 0.547
0.819 0.366 0.185
0.000 0.500 0.500
0.049 0.969 0.288
0.051 0.367 0.159
0.181 0.469 0.920
0.208 0.892 0.841
0.220 0.371 0.591
0.280 0.871 0.151
0.292 0.133 0.684
0.319 0.239 0.288
0.449 0.608 0.316
0.451 0.739 0.920
0.500 0.000 0.500
0.549 0.261 0.080
0.551 0.392 0.684
0.681 0.761 0.712
0.708 0.867 0.316
0.720 0.129 0.849
0.780 0.629 0.409
0.792 0.108 0.159
0.819 0.531 0.080
0.949 0.633 0.841
0.951 0.031 0.712
```

Computed properties:
- SG: Ibam
- E_tot: -0.565 Ry per atom
- Total magnetization: 5.000 μB/f.u.

=====

What did the second record say?
A relaxed HfPtF2 crystal. Source: Alexandria via LeMat-Bulk, functional PBE-GGA.

Cell and atoms, written as POSCAR:
```
HfPtF2
1.0
-2.057 2.057 7.234
2.057 -2.057 7.234
2.057 2.057 -7.234
Hf Pt F
2 2 4
Direct
0.000 0.000 0.000
0.750 0.250 0.500
0.250 0.750 0.500
0.500 0.500 0.000
0.375 0.235 0.360
0.765 0.125 0.140
0.875 0.015 0.640
0.985 0.625 0.860
```

Computed properties:
- SG: I-42d
- Polymorph energy (0 for the lowest one): 0.0 kJ per mole of atoms
- Total magnetization: 0.118 μB/f.u.

=====

> Which value of total magnetization does entry 4 give?

0.000 μB/f.u.